[1]
The following is a DFT calculation (PBE+U) of a relaxed CeMnPb2O6 crystal. Values from VASP.

Summary:
SG: P2_1/c

```
&SYSTEM
  ibrav = 0, nat = 20, ntyp = 4
/
ATOMIC_SPECIES
Ce 140.12 Ce.upf
Mn 54.94 Mn.upf
Pb 207.20 Pb.upf
O 16.00 O.upf
CELL_PARAMETERS angstrom
5.9660 0.0000 0.0000
0.0000 5.8075 0.0000
-5.5960 0.0000 8.1579
ATOMIC_POSITIONS crystal
Ce 0.0000 0.0000 0.0000
Ce 0.0000 0.5000 0.5000
Mn 0.5000 0.0000 0.5000
Mn 0.5000 0.5000 0.0000
Pb 0.2850 0.0010 0.7585
Pb 0.2850 0.4990 0.2585
Pb 0.7150 0.5010 0.7415
Pb 0.7150 0.9990 0.2415
O 0.2076 0.0003 0.2674
O 0.2076 0.4997 0.7674
O 0.3142 0.7352 0.0430
O 0.3142 0.7648 0.5430
O 0.3162 0.2374 0.5428
O 0.3162 0.2626 0.0428
O 0.6838 0.7374 0.9572
O 0.6838 0.7626 0.4572
O 0.6858 0.2352 0.4570
O 0.6858 0.2648 0.9570
O 0.7924 0.9997 0.7326
O 0.7924 0.5003 0.2326
```

***

[2]
The following is a DFT calculation (PBE+U) of a relaxed CePmMn2O6 crystal. Values from VASP.

Summary:
SG: P1

```
&SYSTEM
  ibrav = 0, nat = 10, ntyp = 4
/
ATOMIC_SPECIES
Ce 140.12 Ce.upf
Pm 145.00 Pm.upf
Mn 54.94 Mn.upf
O 16.00 O.upf
CELL_PARAMETERS angstrom
5.5136 0.0000 0.0000
-0.0499 5.5569 0.0000
-2.5731 -2.7736 4.2047
ATOMIC_POSITIONS crystal
Ce 0.0000 0.0000 0.0000
Pm 0.5546 0.4948 0.0140
Mn 0.2728 0.7203 0.5036
Mn 0.7792 0.2268 0.5127
O 0.1491 0.4081 0.0155
O 0.3747 0.9136 0.9939
O 0.5984 0.0524 0.6503
O 0.6244 0.5505 0.6568
O 0.9311 0.3937 0.3576
O 0.9515 0.9145 0.3602
```

***

[3]
The following is a DFT calculation (PBE+U) of a relaxed CePmMn2O8 crystal. Values from VASP.

Summary:
SG: I-4

```
&SYSTEM
  ibrav = 0, nat = 12, ntyp = 4
/
ATOMIC_SPECIES
Ce 140.12 Ce.upf
Pm 145.00 Pm.upf
Mn 54.94 Mn.upf
O 16.00 O.upf
CELL_PARAMETERS angstrom
-2.5764 2.5764 5.7830
2.5764 -2.5764 5.7830
2.5764 2.5764 -5.7830
ATOMIC_POSITIONS crystal
Ce 0.0000 0.0000 0.0000
Pm 0.7500 0.2500 0.5000
Mn 0.2500 0.7500 0.5000
Mn 0.5000 0.5000 0.0000
O 0.0250 0.9180 0.5988
O 0.0820 0.6808 0.1070
O 0.1532 0.2698 0.5697
O 0.3192 0.4262 0.4012
O 0.4165 0.8468 0.1166
O 0.5738 0.9750 0.8930
O 0.7001 0.5835 0.4303
O 0.7302 0.2999 0.8834
```

***

[4]
The following is a DFT calculation (PBE+U) of a relaxed CePuMnO6 crystal. Values from VASP.

Summary:
SG: P4_2nm

```
&SYSTEM
  ibrav = 0, nat = 18, ntyp = 4
/
ATOMIC_SPECIES
Ce 140.12 Ce.upf
Pu 244.00 Pu.upf
Mn 54.94 Mn.upf
O 16.00 O.upf
CELL_PARAMETERS angstrom
5.0602 0.0000 0.0000
0.0000 5.0602 0.0000
0.0000 0.0000 10.1211
ATOMIC_POSITIONS crystal
Ce 0.0000 0.0000 0.0000
Ce 0.5000 0.5000 0.5000
Pu 0.0000 0.0000 0.3407
Pu 0.5000 0.5000 0.8407
Mn 0.0000 0.0000 0.6743
Mn 0.5000 0.5000 0.1743
O 0.1832 0.1832 0.4998
O 0.1868 0.1868 0.1866
O 0.2016 0.2016 0.8339
O 0.2984 0.7016 0.3339
O 0.3132 0.6868 0.6866
O 0.3168 0.6832 0.9998
O 0.6832 0.3168 0.9998
O 0.6868 0.3132 0.6866
O 0.7016 0.2984 0.3339
O 0.7984 0.7984 0.8339
O 0.8132 0.8132 0.1866
O 0.8168 0.8168 0.4998
```

***

no.,DFT total energy (eV/atom),magnetic moment (μB/f.u.)
1,-6.872,3.00
2,-8.101,9.09
3,-7.502,5.00
4,-8.987,7.00